[1]
VASP calculation (PBE-GGA) on a geometry-optimized FeW structure.

```
FeW
1.0
-2.412 -0.779 -3.223
4.077 -0.181 -0.400
-0.088 -4.595 1.177
Fe W
2 2
Direct
0.333 0.667 0.250
0.667 0.333 0.750
0.333 0.667 0.750
0.667 0.333 0.250
```

Values from the calculation:
The calculation puts the energy of formation from the pure elements at 1.137 eV/atom. As for the crystal system: hexagonal.

[2]
VASP calculation (PBE-GGA) on a geometry-optimized PbAuF4 structure.

```
PbAuF4
1.0
6.369 0.058 -1.386
-0.727 4.565 -2.127
-0.724 -0.523 7.708
Pb Au F
2 2 8
Direct
0.349 0.662 0.179
0.651 0.338 0.821
0.969 0.219 0.361
0.031 0.781 0.639
0.292 0.904 0.587
0.933 0.761 0.129
0.237 0.297 0.307
0.411 0.657 0.897
0.708 0.096 0.413
0.763 0.703 0.693
0.067 0.239 0.871
0.589 0.343 0.103
```

Values from the calculation:
As for the crystal system: triclinic. The uncorrected formation energy is -1.655 eV per atom.

[3]
VASP calculation (PBE-GGA) on a geometry-optimized HfScBe2Ru structure.

```
HfScBe2Ru
1.0
4.327 0.000 0.000
0.000 4.642 0.000
0.000 0.000 4.327
Sc Ru Hf Be
1 1 1 2
Direct
0.000 0.500 0.000
0.000 0.000 0.000
0.500 0.500 0.500
0.000 0.000 0.500
0.500 0.000 0.000
```

Values from the calculation:
The calculation puts the energy of formation from the pure elements at 0.407 eV/atom. As for the crystal system: tetragonal.

[4]
VASP calculation (PBE-GGA) on a geometry-optimized LiReAs2 structure.

```
LiReAs2
1.0
4.374 0.000 0.000
0.000 4.374 0.000
0.000 0.000 3.155
As Li Re
2 1 1
Direct
0.000 0.000 0.000
0.500 0.500 0.000
0.500 0.000 0.500
0.000 0.500 0.500
```

Values from the calculation:
The calculation puts the energy of formation from the pure elements at 0.176 eV/atom. As for the crystal system: tetragonal. The value obtained for the energy relative to the lowest polymorph listed for this composition is 364.3 meV per atom.

[5]
VASP calculation (PBE-GGA) on a geometry-optimized KAlHg3 structure.

```
KAlHg3
1.0
5.363 0.000 0.000
0.000 5.363 0.000
0.000 0.000 5.363
K Hg Al
1 3 1
Direct
0.500 0.500 0.500
0.000 0.500 0.000
0.000 0.000 0.500
0.500 0.000 0.000
0.000 0.000 0.000
```

Values from the calculation:
The calculation puts the energy of formation from the pure elements at -0.105 eV/atom. As for the crystal system: cubic. The value obtained for the energy relative to the lowest polymorph listed for this composition is 0.0 meV per atom.

[6]
VASP calculation (PBE-GGA) on a geometry-optimized MnNbRe2P structure.

```
MnNbRe2P
1.0
4.330 0.000 0.000
0.000 4.511 0.000
0.000 0.000 4.330
Re Nb Mn P
2 1 1 1
Direct
0.000 0.000 0.500
0.500 0.000 0.000
0.000 0.500 0.000
0.500 0.500 0.500
0.000 0.000 0.000
```

Values from the calculation:
The calculation puts the energy of formation from the pure elements at 0.963 eV/atom. As for the crystal system: tetragonal.

[7]
VASP calculation (PBE-GGA) on a geometry-optimized PuScHg2 structure.

```
PuScHg2
1.0
-1.695 -1.443 4.673
0.929 -4.792 1.724
3.370 -0.756 3.856
Sc Hg Pu
1 2 1
Direct
0.500 0.500 0.500
0.250 0.250 0.250
0.750 0.750 0.750
0.000 0.000 0.000
```

Values from the calculation:
The calculation puts the energy of formation from the pure elements at -0.202 eV/atom. As for the crystal system: cubic. The value obtained for the energy relative to the lowest polymorph listed for this composition is 57.0 meV per atom.

[8]
VASP calculation (PBE-GGA) on a geometry-optimized Fe4IrPt3 structure.

```
Fe4IrPt3
1.0
-2.950 -1.015 0.695
-0.523 -0.599 -3.096
3.870 -10.332 1.347
Ir Fe Pt
1 4 3
Direct
0.500 0.500 0.000
0.000 0.000 0.877
0.000 0.000 0.123
0.000 0.000 0.374
0.000 0.000 0.626
0.500 0.500 0.251
0.500 0.500 0.500
0.500 0.500 0.749
```

Values from the calculation:
The calculation puts the energy of formation from the pure elements at -0.065 eV/atom. As for the crystal system: tetragonal.

[9]
VASP calculation (PBE-GGA) on a geometry-optimized KBPb structure.

```
KBPb
1.0
4.816 -4.241 0.000
4.816 4.241 0.000
0.000 0.000 4.848
Pb K B
2 2 2
Direct
0.750 0.250 0.589
0.250 0.750 0.411
0.250 0.250 0.000
0.750 0.750 0.000
0.000 0.000 0.500
0.500 0.500 0.500
```

Values from the calculation:
The calculation puts the energy of formation from the pure elements at 0.888 eV/atom. As for the crystal system: orthorhombic. The value obtained for the energy relative to the lowest polymorph listed for this composition is 749.9 meV per atom.

[10]
VASP calculation (PBE-GGA) on a geometry-optimized Cs2LaRh structure.

```
Cs2LaRh
1.0
0.000 4.002 4.002
4.002 0.000 4.002
4.002 4.002 0.000
Cs Rh La
2 1 1
Direct
0.250 0.250 0.250
0.750 0.750 0.750
0.000 0.000 0.000
0.500 0.500 0.500
```

Values from the calculation:
The calculation puts the energy of formation from the pure elements at 0.985 eV/atom. As for the crystal system: cubic.

[11]
VASP calculation (PBE-GGA) on a geometry-optimized YTlAs2 structure.

```
YTlAs2
1.0
6.214 0.042 0.000
3.415 5.191 0.000
-4.814 -2.617 2.930
Y Tl As
1 1 2
Direct
0.750 0.250 0.500
0.500 0.500 0.000
0.000 0.000 0.000
0.250 0.750 0.500
```

Values from the calculation:
The calculation puts the energy of formation from the pure elements at -0.459 eV/atom. As for the crystal system: tetragonal. The value obtained for the energy relative to the lowest polymorph listed for this composition is 161.0 meV per atom.

[12]
VASP calculation (PBE-GGA) on a geometry-optimized TiZnCo structure.

```
TiZnCo
1.0
4.009 0.000 0.000
-2.004 4.120 0.000
0.000 0.000 4.941
Ti Zn Co
2 2 2
Direct
0.205 0.411 0.750
0.795 0.589 0.250
0.500 0.000 0.500
0.500 0.000 0.000
0.107 0.213 0.250
0.893 0.787 0.750
```

Values from the calculation:
The calculation puts the energy of formation from the pure elements at -0.300 eV/atom. As for the crystal system: orthorhombic.